# GGA-PBE Cs2As2PbO6, relaxed
data_Cs2As2PbO6
_chemical_formula_sum 'Cs4 As4 Pb2 O12'
_space_group_name_H-M_alt 'C 1 2/m 1'
_space_group_IT_number 12
_cell_length_a 11.208
_cell_length_b 6.405
_cell_length_c 7.489
_cell_angle_alpha 90.00
_cell_angle_beta 121.57
_cell_angle_gamma 90.00
loop_
_space_group_symop_operation_xyz
'x,y,z'
'-x,-y,-z'
'-x,y,-z'
'x,-y,z'
'x+1/2,y+1/2,z'
'-x+1/2,-y+1/2,-z'
'-x+1/2,y+1/2,-z'
'x+1/2,-y+1/2,z'
loop_
_atom_site_label
_atom_site_type_symbol
_atom_site_fract_x
_atom_site_fract_y
_atom_site_fract_z
_atom_site_occupancy
Cs1 Cs 0.219 0.000 0.192 1
As1 As 0.053 0.500 0.195 1
Pb1 Pb 0.000 0.000 0.500 1
O1 O 0.010 0.276 0.753 1
O2 O 0.232 0.500 0.312 1
# raw formation energy: -1436 meV/atom